## ReHg2Mo (PBE-GGA)

Data for an optimized crystal structure of ReHg2Mo.

Values from the calculation:
Formation enthalpy at 0 K = 79.6 kJ per mole of atoms
Relative energy among the computed polymorphs = 1.645 eV/f.u.
Spin magnetization = 0.0 μB/cell

Cell: 5.032 5.032 5.032 Å, 131.22 131.22 71.46°
Positions (direct):
Re  0.000  0.000  0.000
Hg  0.250  0.750  0.500
Hg  0.500  0.500  0.000
Mo  0.750  0.250  0.500